(1)
First-principles (GGA-PBE) data for BeTe2Br after structural relaxation, as listed in Alexandria.

```
data_BeTe2Br
_chemical_formula_sum 'Be2 Te4 Br2'
_symmetry_space_group_name_H-M 'C m m 2'
_symmetry_Int_Tables_number 35
_cell_length_a 3.541
_cell_length_b 7.704
_cell_length_c 9.429
_cell_angle_alpha 90.00
_cell_angle_beta 90.00
_cell_angle_gamma 90.00
loop_
_symmetry_equiv_pos_as_xyz
'x,y,z'
'-x,-y,z'
'-x,y,z'
'x,-y,z'
'x+1/2,y+1/2,z'
'-x+1/2,-y+1/2,z'
'-x+1/2,y+1/2,z'
'x+1/2,-y+1/2,z'
loop_
_atom_site_label
_atom_site_type_symbol
_atom_site_fract_x
_atom_site_fract_y
_atom_site_fract_z
Be1 Be 0.000 0.000 0.000
Te1 Te 0.000 0.000 0.567
Te2 Te 0.000 0.500 0.804
Br1 Br 0.000 0.500 0.152
```

(2)
First-principles (GGA-PBE) data for BeTe2Br after structural relaxation, as listed in Alexandria.

```
data_BeTe2Br
_chemical_formula_sum 'Be1 Te2 Br1'
_symmetry_space_group_name_H-M 'P 4/m m m'
_symmetry_Int_Tables_number 123
_symmetry_space_group_name_Hall '-P 4 2'
_cell_length_a 3.503
_cell_length_b 3.503
_cell_length_c 7.750
_cell_angle_alpha 90.00
_cell_angle_beta 90.00
_cell_angle_gamma 90.00
loop_
_atom_site_label
_atom_site_type_symbol
_atom_site_fract_x
_atom_site_fract_y
_atom_site_fract_z
Be1 Be 0.000 0.000 0.000
Te1 Te 0.500 0.500 0.182
Br1 Br 0.000 0.000 0.500
```

(3)
First-principles (GGA-PBE) data for BeTeBr2 after structural relaxation, as listed in Alexandria.

```
data_BeTeBr2
_chemical_formula_sum 'Be2 Te2 Br4'
_symmetry_space_group_name_H-M 'I 4/m m m'
_symmetry_Int_Tables_number 139
_symmetry_space_group_name_Hall '-I 4 2'
_cell_length_a 4.637
_cell_length_b 4.637
_cell_length_c 8.951
_cell_angle_alpha 90.00
_cell_angle_beta 90.00
_cell_angle_gamma 90.00
loop_
_atom_site_label
_atom_site_type_symbol
_atom_site_fract_x
_atom_site_fract_y
_atom_site_fract_z
Be1 Be 0.000 0.000 0.000
Te1 Te 0.000 0.000 0.500
Br1 Br 0.000 0.500 0.250
```

(4)
First-principles (GGA-PBE) data for BeTeBr2 after structural relaxation, as listed in Alexandria.

```
data_BeTeBr2
_chemical_formula_sum 'Be2 Te2 Br4'
_symmetry_space_group_name_H-M 'C m m 2'
_symmetry_Int_Tables_number 35
_cell_length_a 3.535
_cell_length_b 9.464
_cell_length_c 8.891
_cell_angle_alpha 90.00
_cell_angle_beta 90.00
_cell_angle_gamma 90.00
loop_
_symmetry_equiv_pos_as_xyz
'x,y,z'
'-x,-y,z'
'-x,y,z'
'x,-y,z'
'x+1/2,y+1/2,z'
'-x+1/2,-y+1/2,z'
'-x+1/2,y+1/2,z'
'x+1/2,-y+1/2,z'
loop_
_atom_site_label
_atom_site_type_symbol
_atom_site_fract_x
_atom_site_fract_y
_atom_site_fract_z
Be1 Be 0.000 0.000 0.000
Te1 Te 0.000 0.500 0.206
Br1 Br 0.000 0.000 0.455
Br2 Br 0.000 0.500 0.842
```

(5)
First-principles (GGA-PBE) data for BeTeBr2 after structural relaxation, as listed in Alexandria.

```
data_BeTeBr2
_chemical_formula_sum 'Be2 Te2 Br4'
_symmetry_space_group_name_H-M 'C m m m'
_symmetry_Int_Tables_number 65
_symmetry_space_group_name_Hall '-C 2 2'
_cell_length_a 3.203
_cell_length_b 6.752
_cell_length_c 12.514
_cell_angle_alpha 90.00
_cell_angle_beta 90.00
_cell_angle_gamma 90.00
loop_
_atom_site_label
_atom_site_type_symbol
_atom_site_fract_x
_atom_site_fract_y
_atom_site_fract_z
Be1 Be 0.000 0.000 0.000
Te1 Te 0.000 0.000 0.500
Br1 Br 0.000 0.500 0.127
```

(6)
First-principles (GGA-PBE) data for Be2TeBr after structural relaxation, as listed in Alexandria.

```
data_Be2TeBr
_chemical_formula_sum 'Be2 Te1 Br1'
_symmetry_space_group_name_H-M 'P 4/m m m'
_symmetry_Int_Tables_number 123
_symmetry_space_group_name_Hall '-P 4 2'
_cell_length_a 3.473
_cell_length_b 3.473
_cell_length_c 6.733
_cell_angle_alpha 90.00
_cell_angle_beta 90.00
_cell_angle_gamma 90.00
loop_
_atom_site_label
_atom_site_type_symbol
_atom_site_fract_x
_atom_site_fract_y
_atom_site_fract_z
Be1 Be 0.000 0.000 0.168
Te1 Te 0.500 0.500 0.000
Br1 Br 0.500 0.500 0.500
```

(7)
First-principles (GGA-PBE) data for Be2TeBr after structural relaxation, as listed in Alexandria.

```
data_Be2TeBr
_chemical_formula_sum 'Be4 Te2 Br2'
_symmetry_space_group_name_H-M 'I -4 m 2'
_symmetry_Int_Tables_number 119
_symmetry_space_group_name_Hall 'I -4 -2'
_cell_length_a 3.563
_cell_length_b 3.563
_cell_length_c 15.021
_cell_angle_alpha 90.00
_cell_angle_beta 90.00
_cell_angle_gamma 90.00
loop_
_atom_site_label
_atom_site_type_symbol
_atom_site_fract_x
_atom_site_fract_y
_atom_site_fract_z
Be1 Be 0.000 0.000 0.000
Be2 Be 0.000 0.500 0.250
Te1 Te 0.000 0.000 0.500
Br1 Br 0.000 0.500 0.750
```

(8)
First-principles (GGA-PBE) data for BeTe2Br after structural relaxation, as listed in Alexandria.

```
data_BeTe2Br
_chemical_formula_sum 'Be4 Te8 Br4'
_symmetry_space_group_name_H-M 'F -4 3 m'
_symmetry_Int_Tables_number 216
_symmetry_space_group_name_Hall 'F -4 2 3'
_cell_length_a 7.291
_cell_length_b 7.291
_cell_length_c 7.291
_cell_angle_alpha 90.00
_cell_angle_beta 90.00
_cell_angle_gamma 90.00
loop_
_atom_site_label
_atom_site_type_symbol
_atom_site_fract_x
_atom_site_fract_y
_atom_site_fract_z
Be1 Be 0.000 0.000 0.000
Te1 Te 0.000 0.000 0.500
Te2 Te 0.250 0.250 0.750
Br1 Br 0.250 0.250 0.250
```

(9)
First-principles (GGA-PBE) data for BeTeBr2 after structural relaxation, as listed in Alexandria.

```
data_BeTeBr2
_chemical_formula_sum 'Be4 Te4 Br8'
_symmetry_space_group_name_H-M 'F m m m'
_symmetry_Int_Tables_number 69
_symmetry_space_group_name_Hall '-F 2 2'
_cell_length_a 6.534
_cell_length_b 7.852
_cell_length_c 8.350
_cell_angle_alpha 90.00
_cell_angle_beta 90.00
_cell_angle_gamma 90.00
loop_
_atom_site_label
_atom_site_type_symbol
_atom_site_fract_x
_atom_site_fract_y
_atom_site_fract_z
Be1 Be 0.000 0.000 0.000
Te1 Te 0.000 0.000 0.500
Br1 Br 0.000 0.250 0.250
```

(10)
First-principles (GGA-PBE) data for BeTeBr2 after structural relaxation, as listed in Alexandria.

```
data_BeTeBr2
_chemical_formula_sum 'Be1 Te1 Br2'
_symmetry_space_group_name_H-M 'P 4 m m'
_symmetry_Int_Tables_number 99
_cell_length_a 3.804
_cell_length_b 3.804
_cell_length_c 8.418
_cell_angle_alpha 90.00
_cell_angle_beta 90.00
_cell_angle_gamma 90.00
loop_
_symmetry_equiv_pos_as_xyz
'x,y,z'
'-y,x,z'
'-x,-y,z'
'y,-x,z'
'-x,y,z'
'y,x,z'
'x,-y,z'
'-y,-x,z'
loop_
_atom_site_label
_atom_site_type_symbol
_atom_site_fract_x
_atom_site_fract_y
_atom_site_fract_z
Be1 Be 0.000 0.000 0.000
Te1 Te 0.500 0.500 0.076
Br1 Br 0.000 0.000 0.759
Br2 Br 0.500 0.500 0.375
```

(11)
First-principles (GGA-PBE) data for BeTe2Br after structural relaxation, as listed in Alexandria.

```
data_BeTe2Br
_chemical_formula_sum 'Be1 Te2 Br1'
_symmetry_space_group_name_H-M 'P 1 2/m 1'
_symmetry_Int_Tables_number 10
_cell_length_a 5.160
_cell_length_b 3.955
_cell_length_c 5.422
_cell_angle_alpha 90.00
_cell_angle_beta 106.73
_cell_angle_gamma 90.00
loop_
_symmetry_equiv_pos_as_xyz
'x,y,z'
'-x,-y,-z'
'-x,y,-z'
'x,-y,z'
loop_
_atom_site_label
_atom_site_type_symbol
_atom_site_fract_x
_atom_site_fract_y
_atom_site_fract_z
Be1 Be 0.000 0.000 0.000
Te1 Te 0.154 0.500 0.331
Br1 Br 0.500 0.000 0.000
```

(12)
First-principles (GGA-PBE) data for Be2TeBr after structural relaxation, as listed in Alexandria.

```
data_Be2TeBr
_chemical_formula_sum 'Be2 Te1 Br1'
_symmetry_space_group_name_H-M 'P 4 m m'
_symmetry_Int_Tables_number 99
_cell_length_a 3.748
_cell_length_b 3.748
_cell_length_c 5.431
_cell_angle_alpha 90.00
_cell_angle_beta 90.00
_cell_angle_gamma 90.00
loop_
_symmetry_equiv_pos_as_xyz
'x,y,z'
'-y,x,z'
'-x,-y,z'
'y,-x,z'
'-x,y,z'
'y,x,z'
'x,-y,z'
'-y,-x,z'
loop_
_atom_site_label
_atom_site_type_symbol
_atom_site_fract_x
_atom_site_fract_y
_atom_site_fract_z
Be1 Be 0.000 0.000 0.000
Be2 Be 0.500 0.500 0.468
Te1 Te 0.500 0.500 0.933
Br1 Br 0.000 0.000 0.423
```

(13)
First-principles (GGA-PBE) data for BeTe2Br after structural relaxation, as listed in Alexandria.

```
data_BeTe2Br
_chemical_formula_sum 'Be2 Te4 Br2'
_symmetry_space_group_name_H-M 'C 1 2/m 1'
_symmetry_Int_Tables_number 12
_cell_length_a 6.898
_cell_length_b 4.029
_cell_length_c 7.762
_cell_angle_alpha 90.00
_cell_angle_beta 108.11
_cell_angle_gamma 90.00
loop_
_symmetry_equiv_pos_as_xyz
'x,y,z'
'-x,-y,-z'
'-x,y,-z'
'x,-y,z'
'x+1/2,y+1/2,z'
'-x+1/2,-y+1/2,-z'
'-x+1/2,y+1/2,-z'
'x+1/2,-y+1/2,z'
loop_
_atom_site_label
_atom_site_type_symbol
_atom_site_fract_x
_atom_site_fract_y
_atom_site_fract_z
Be1 Be 0.000 0.000 0.000
Te1 Te 0.179 0.500 0.174
Br1 Br 0.000 0.500 0.500
```

(14)
First-principles (GGA-PBE) data for Be2TeBr after structural relaxation, as listed in Alexandria.

```
data_Be2TeBr
_chemical_formula_sum 'Be4 Te2 Br2'
_symmetry_space_group_name_H-M 'C 1 2/m 1'
_symmetry_Int_Tables_number 12
_cell_length_a 7.002
_cell_length_b 7.018
_cell_length_c 4.447
_cell_angle_alpha 90.00
_cell_angle_beta 116.27
_cell_angle_gamma 90.00
loop_
_symmetry_equiv_pos_as_xyz
'x,y,z'
'-x,-y,-z'
'-x,y,-z'
'x,-y,z'
'x+1/2,y+1/2,z'
'-x+1/2,-y+1/2,-z'
'-x+1/2,y+1/2,-z'
'x+1/2,-y+1/2,z'
loop_
_atom_site_label
_atom_site_type_symbol
_atom_site_fract_x
_atom_site_fract_y
_atom_site_fract_z
Be1 Be 0.250 0.250 0.000
Te1 Te 0.000 0.000 0.000
Br1 Br 0.000 0.500 0.000
```

(15)
First-principles (GGA-PBE) data for Be2TeBr after structural relaxation, as listed in Alexandria.

```
data_Be2TeBr
_chemical_formula_sum 'Be4 Te2 Br2'
_symmetry_space_group_name_H-M 'I m m m'
_symmetry_Int_Tables_number 71
_symmetry_space_group_name_Hall '-I 2 2'
_cell_length_a 3.562
_cell_length_b 7.009
_cell_length_c 7.528
_cell_angle_alpha 90.00
_cell_angle_beta 90.00
_cell_angle_gamma 90.00
loop_
_atom_site_label
_atom_site_type_symbol
_atom_site_fract_x
_atom_site_fract_y
_atom_site_fract_z
Be1 Be 0.000 0.242 0.000
Te1 Te 0.000 0.500 0.500
Br1 Br 0.000 0.000 0.500
```

no.,volume (Å³/cell),electronic total energy (eV per atom),formation energy without anion corrections (meV per atom)
1,257.22,-2.89,32
2,95.08,-2.71,210
3,192.45,-1.75,800
4,297.43,-2.64,-82
5,270.61,-2.82,-266
6,81.19,-2.43,641
7,190.68,-2.64,429
8,387.64,-2.25,675
9,428.38,-2.12,430
10,121.84,-2.76,-203
11,105.97,-3.02,-99
12,76.29,-2.87,193
13,205.04,-2.88,44
14,195.97,-2.77,293
15,187.95,-2.72,348